## P
Below is BaInAg4 after structural relaxation, with properties calculated at the GGA-PBE level.

abc: 5.195 5.195 7.886
angles: 90.00 90.00 90.00
Element x y z (fractional)
Ba 0.000 0.000 0.000
In 0.500 0.500 0.500
Ag 0.000 0.500 0.500
Ag 0.500 0.000 0.500
Ag 0.500 0.500 0.166
Ag 0.500 0.500 0.834

Properties
M_tot (μB/atom): 0.000
D(E_F) (states/eV/atom): 0.416
Mass density (g/cm3): 5.33

***

## Q
Below is BaInAg4 after structural relaxation, with properties calculated at the GGA-PBE level.

abc: 5.842 5.842 5.842
angles: 60.00 60.00 60.00
Element x y z (fractional)
Ba 0.000 0.000 0.000
In 0.750 0.750 0.750
Ag 0.376 0.376 0.376
Ag 0.376 0.376 0.871
Ag 0.376 0.871 0.376
Ag 0.871 0.376 0.376

Properties
M_tot (μB/atom): 0.000
D(E_F) (states/eV/atom): 0.312
Mass density (g/cm3): 8.05

***

Which of them is the most stable? Correct choice: Q.

***

## P
Below is Ba2In5Ag4 after structural relaxation, with properties calculated at the GGA-PBE level.

abc: 10.311 9.369 6.271
angles: 79.82 63.42 36.77
Element x y z (fractional)
Ba 0.130 0.130 0.870
Ba 0.870 0.870 0.130
In 0.000 0.000 0.500
In 0.250 0.250 0.250
In 0.500 0.500 0.000
In 0.500 0.500 0.500
In 0.750 0.750 0.750
Ag 0.224 0.505 0.495
Ag 0.495 0.776 0.224
Ag 0.505 0.224 0.776
Ag 0.776 0.495 0.505

Properties
M_tot (μB/atom): 0.000
D(E_F) (states/eV/atom): 0.449
Mass density (g/cm3): 6.97

***

## Q
Below is Ba2In5Ag4 after structural relaxation, with properties calculated at the GGA-PBE level.

abc: 7.541 7.541 7.541
angles: 130.86 100.57 99.35
Element x y z (fractional)
Ba 0.218 0.218 0.000
Ba 0.782 0.782 0.000
In 0.000 0.500 0.500
In 0.305 0.250 0.555
In 0.305 0.750 0.055
In 0.695 0.250 0.945
In 0.695 0.750 0.445
Ag 0.093 0.749 0.344
Ag 0.406 0.749 0.656
Ag 0.594 0.251 0.344
Ag 0.907 0.251 0.656

Properties
M_tot (μB/atom): 0.000
D(E_F) (states/eV/atom): 0.413
Mass density (g/cm3): 7.21

***

Which of them is the most stable? Correct choice: P.

***

## P
Below is Ba2In3Ag after structural relaxation, with properties calculated at the GGA-PBE level.

abc: 6.545 6.545 8.467
angles: 128.48 128.48 46.65
Element x y z (fractional)
Ba 0.000 0.000 0.000
Ba 0.095 0.095 0.599
In 0.375 0.375 0.195
In 0.391 0.391 0.583
In 0.708 0.708 0.398
Ag 0.712 0.712 0.023

Properties
M_tot (μB/atom): 0.000
D(E_F) (states/eV/atom): 0.699
Mass density (g/cm3): 6.22

***

## Q
Below is Ba2In3Ag after structural relaxation, with properties calculated at the GGA-PBE level.

abc: 10.324 9.971 6.756
angles: 73.41 67.75 38.84
Element x y z (fractional)
Ba 0.242 0.758 0.758
Ba 0.250 0.250 0.250
Ba 0.750 0.750 0.750
Ba 0.758 0.242 0.242
In 0.163 0.667 0.333
In 0.331 0.331 0.669
In 0.333 0.837 0.163
In 0.667 0.163 0.837
In 0.669 0.669 0.331
In 0.837 0.333 0.667
Ag 0.167 0.167 0.833
Ag 0.833 0.833 0.167

Properties
M_tot (μB/atom): 0.000
D(E_F) (states/eV/atom): 0.959
Mass density (g/cm3): 5.98

***

Which of them is the most stable? Correct choice: P.

***

## P
Below is BaLiInAg2 after structural relaxation, with properties calculated at the GGA-PBE level.

abc: 7.096 7.096 7.096
angles: 142.37 142.37 54.27
Element x y z (fractional)
Ba 0.000 0.000 0.000
Li 0.750 0.250 0.500
In 0.250 0.750 0.500
Ag 0.386 0.386 0.000
Ag 0.614 0.614 0.000

Properties
M_tot (μB/atom): 0.000
D(E_F) (states/eV/atom): 0.611
Mass density (g/cm3): 5.96

***

## Q
Below is BaLiInAg2 after structural relaxation, with properties calculated at the GGA-PBE level.

abc: 5.098 5.098 5.105
angles: 90.00 90.00 90.00
Element x y z (fractional)
Ba 0.000 0.000 0.000
Li 0.500 0.500 0.500
In 0.500 0.500 0.000
Ag 0.000 0.500 0.500
Ag 0.500 0.000 0.500

Properties
M_tot (μB/atom): 0.000
D(E_F) (states/eV/atom): 0.562
Mass density (g/cm3): 5.94

***

Which of them is the most stable? Correct choice: P.

***

## P
Below is BaInAgPd2 after structural relaxation, with properties calculated at the GGA-PBE level.

abc: 5.262 5.262 5.043
angles: 90.00 90.00 90.00
Element x y z (fractional)
Ba 0.000 0.000 0.000
In 0.500 0.500 0.000
Ag 0.500 0.500 0.500
Pd 0.000 0.500 0.500
Pd 0.500 0.000 0.500

Properties
M_tot (μB/atom): 0.000
D(E_F) (states/eV/atom): 0.535
Mass density (g/cm3): 6.81

***

## Q
Below is BaInAgPd2 after structural relaxation, with properties calculated at the GGA-PBE level.

abc: 7.308 7.308 6.146
angles: 90.00 90.00 131.05
Element x y z (fractional)
Ba 0.250 0.750 0.781
Ba 0.750 0.250 0.219
In 0.250 0.250 0.500
In 0.750 0.750 0.500
Ag 0.000 0.000 0.000
Ag 0.500 0.500 0.000
Pd 0.148 0.852 0.306
Pd 0.352 0.648 0.306
Pd 0.648 0.352 0.694
Pd 0.852 0.148 0.694

Properties
M_tot (μB/atom): 0.000
D(E_F) (states/eV/atom): 0.355
Mass density (g/cm3): 7.69

***

Which of them is the most stable? Correct choice: Q.

***

## P
Below is BaZnInAg2 after structural relaxation, with properties calculated at the GGA-PBE level.

abc: 6.862 6.862 6.862
angles: 140.79 140.67 56.75
Element x y z (fractional)
Ba 0.000 0.000 0.000
Zn 0.615 0.615 0.000
In 0.249 0.749 0.500
Ag 0.392 0.392 0.000
Ag 0.741 0.241 0.500

Properties
M_tot (μB/atom): 0.000
D(E_F) (states/eV/atom): 0.519
Mass density (g/cm3): 6.90

***

## Q
Below is BaZnInAg2 after structural relaxation, with properties calculated at the GGA-PBE level.

abc: 5.157 5.157 5.222
angles: 90.00 90.00 90.00
Element x y z (fractional)
Ba 0.000 0.000 0.000
Zn 0.500 0.500 0.500
In 0.500 0.500 0.000
Ag 0.000 0.500 0.500
Ag 0.500 0.000 0.500

Properties
M_tot (μB/atom): 0.000
D(E_F) (states/eV/atom): 0.512
Mass density (g/cm3): 6.38

***

Which of them is the most stable? Correct choice: P.

***

## P
Below is BaAg2Ir after structural relaxation, with properties calculated at the GGA-PBE level.

abc: 10.026 10.026 10.026
angles: 151.49 151.49 40.76
Element x y z (fractional)
Ba 0.000 0.000 0.000
Ba 0.750 0.250 0.500
Ag 0.282 0.625 0.157
Ag 0.375 0.532 0.657
Ag 0.468 0.125 0.843
Ag 0.875 0.718 0.343
Ir 0.250 0.750 0.500
Ir 0.500 0.500 0.000

Properties
M_tot (μB/atom): 0.000
D(E_F) (states/eV/atom): 0.409
Mass density (g/cm3): 7.90

***

## Q
Below is BaAg2Ir after structural relaxation, with properties calculated at the GGA-PBE level.

abc: 3.604 3.604 7.068
angles: 90.00 90.00 90.00
Element x y z (fractional)
Ba 0.000 0.000 0.000
Ag 0.500 0.500 0.312
Ag 0.500 0.500 0.688
Ir 0.000 0.000 0.500

Properties
M_tot (μB/atom): 0.000
D(E_F) (states/eV/atom): 0.921
Mass density (g/cm3): 9.86

***

Which of them is the most stable? Correct choice: P.

***

## P
Below is Ba3AgIr after structural relaxation, with properties calculated at the GGA-PBE level.

abc: 6.063 6.063 6.063
angles: 90.00 90.00 90.00
Element x y z (fractional)
Ba 0.000 0.000 0.500
Ba 0.000 0.500 0.000
Ba 0.500 0.000 0.000
Ag 0.500 0.500 0.500
Ir 0.000 0.000 0.000

Properties
M_tot (μB/atom): 0.000
D(E_F) (states/eV/atom): 0.924
Mass density (g/cm3): 5.31

***

## Q
Below is Ba3AgIr after structural relaxation, with properties calculated at the GGA-PBE level.

abc: 8.561 8.561 13.976
angles: 107.87 107.87 59.39
Element x y z (fractional)
Ba 0.087 0.205 0.812
Ba 0.180 0.686 0.938
Ba 0.205 0.087 0.312
Ba 0.278 0.393 0.627
Ba 0.314 0.820 0.562
Ba 0.393 0.278 0.127
Ba 0.607 0.722 0.873
Ba 0.686 0.180 0.438
Ba 0.722 0.607 0.373
Ba 0.795 0.913 0.688
Ba 0.820 0.314 0.062
Ba 0.913 0.795 0.188
Ag 0.201 0.506 0.371
Ag 0.494 0.799 0.129
Ag 0.506 0.201 0.871
Ag 0.799 0.494 0.629
Ir 0.000 0.500 0.000
Ir 0.216 0.784 0.750
Ir 0.500 0.000 0.500
Ir 0.784 0.216 0.250

Properties
M_tot (μB/atom): 0.000
D(E_F) (states/eV/atom): 0.855
Mass density (g/cm3): 5.74

***

Which of them is the most stable? Correct choice: Q.

***

## P
Below is BaAgIr after structural relaxation, with properties calculated at the GGA-PBE level.

abc: 6.034 6.034 6.034
angles: 143.99 143.99 51.84
Element x y z (fractional)
Ba 0.000 0.000 0.000
Ag 0.718 0.718 0.000
Ir 0.292 0.292 0.000

Properties
M_tot (μB/atom): 0.000
D(E_F) (states/eV/atom): 0.407
Mass density (g/cm3): 9.62

***

## Q
Below is BaAgIr after structural relaxation, with properties calculated at the GGA-PBE level.

abc: 4.539 4.539 4.621
angles: 90.00 90.00 120.00
Element x y z (fractional)
Ba 0.000 0.000 0.000
Ag 0.333 0.667 0.500
Ir 0.667 0.333 0.500

Properties
M_tot (μB/atom): 0.000
D(E_F) (states/eV/atom): 0.338
Mass density (g/cm3): 8.81

***

## R
Below is BaAgIr after structural relaxation, with properties calculated at the GGA-PBE level.

abc: 5.023 5.023 5.023
angles: 60.00 60.00 60.00
Element x y z (fractional)
Ba 0.000 0.000 0.000
Ag 0.250 0.250 0.250
Ir 0.750 0.750 0.750

Properties
M_tot (μB/atom): 0.021
D(E_F) (states/eV/atom): 1.400
Mass density (g/cm3): 8.10

***

Which of them is the most stable? Correct choice: Q.

***

## P
Below is BaAgIr after structural relaxation, with properties calculated at the GGA-PBE level.

abc: 4.908 4.908 4.908
angles: 60.00 60.00 60.00
Element x y z (fractional)
Ba 0.000 0.000 0.000
Ag 0.500 0.500 0.500
Ir 0.750 0.750 0.750

Properties
M_tot (μB/atom): 0.000
Mass density (g/cm3): 8.69

***

## Q
Below is BaAgIr after structural relaxation, with properties calculated at the GGA-PBE level.

abc: 6.734 6.734 6.142
angles: 106.85 106.85 39.48
Element x y z (fractional)
Ba 0.112 0.112 0.306
Ba 0.888 0.888 0.694
Ag 0.407 0.407 0.293
Ag 0.593 0.593 0.707
Ir 0.223 0.223 0.923
Ir 0.777 0.777 0.077

Properties
M_tot (μB/atom): 0.000
D(E_F) (states/eV/atom): 0.488
Mass density (g/cm3): 8.62

***

Which of them is the most stable? Correct choice: Q.

***

## P
Below is BaAgIr3 after structural relaxation, with properties calculated at the GGA-PBE level.

abc: 5.127 5.127 5.127
angles: 90.00 90.00 90.00
Element x y z (fractional)
Ba 0.000 0.000 0.000
Ag 0.500 0.500 0.500
Ir 0.000 0.000 0.500
Ir 0.000 0.500 0.000
Ir 0.500 0.000 0.000

Properties
M_tot (μB/atom): 0.311
D(E_F) (states/eV/atom): 1.172
Mass density (g/cm3): 10.13

***

## Q
Below is BaAgIr3 after structural relaxation, with properties calculated at the GGA-PBE level.

abc: 4.968 4.968 4.968
angles: 90.00 90.00 90.00
Element x y z (fractional)
Ba 0.000 0.000 0.000
Ag 0.500 0.500 0.500
Ir 0.000 0.500 0.500
Ir 0.500 0.000 0.500
Ir 0.500 0.500 0.000

Properties
M_tot (μB/atom): 0.374
D(E_F) (states/eV/atom): 1.758
Mass density (g/cm3): 11.13

***

Which of them is the most stable? Correct choice: Q.

***

## P
Below is Ba8Ag2Ir after structural relaxation, with properties calculated at the GGA-PBE level.

abc: 11.106 11.106 7.843
angles: 103.54 103.54 30.81
Element x y z (fractional)
Ba 0.035 0.035 0.313
Ba 0.213 0.213 0.821
Ba 0.348 0.348 0.543
Ba 0.417 0.417 0.109
Ba 0.583 0.583 0.891
Ba 0.652 0.652 0.457
Ba 0.787 0.787 0.179
Ba 0.965 0.965 0.687
Ag 0.194 0.194 0.242
Ag 0.806 0.806 0.758
Ir 0.500 0.500 0.500

Properties
M_tot (μB/atom): 0.000
D(E_F) (states/eV/atom): 1.119
Mass density (g/cm3): 5.21

***

## Q
Below is Ba8Ag2Ir after structural relaxation, with properties calculated at the GGA-PBE level.

abc: 8.787 8.787 8.782
angles: 90.08 90.08 57.58
Element x y z (fractional)
Ba 0.193 0.193 0.894
Ba 0.203 0.715 0.760
Ba 0.285 0.797 0.240
Ba 0.296 0.296 0.399
Ba 0.704 0.704 0.601
Ba 0.715 0.203 0.760
Ba 0.797 0.285 0.240
Ba 0.807 0.807 0.106
Ag 0.093 0.093 0.543
Ag 0.907 0.907 0.457
Ir 0.000 0.000 0.000

Properties
M_tot (μB/atom): 0.029
D(E_F) (states/eV/atom): 0.806
Mass density (g/cm3): 4.37

***

Which of them is the most stable? Correct choice: Q.